# 1
The following is a GGA-PBE calculation of an optimized crystal structure of CrCoRe2, from Alexandria.

M_tot in μB per cell: 0.496
Symmetry: R3m
E_form in meV per atom: 218

abc: 8.668 8.668 8.668
angles: 17.88 17.88 17.88
Site moments in Bohr magnetons follow the coordinates.
Element x y z (fractional)
Co: 0.504 0.504 0.504  0.59
Cr: 0.245 0.245 0.245  -0.08
Re: 0.998 0.998 0.998  0.02
Re: 0.753 0.753 0.753  -0.01


# 2
The following is a GGA-PBE calculation of an optimized crystal structure of LiSeF3, from Alexandria.

M_tot in μB per cell: 0.000
Energy relative to the elements, uncorrected in kJ per mole of atoms: -127
Symmetry: Pm-3m

abc: 3.779 3.779 3.779
angles: 90.00 90.00 90.00
Element x y z (fractional)
Li: 0.000 0.000 0.000
Se: 0.500 0.500 0.500
F: 0.000 0.500 0.000
F: 0.000 0.000 0.500
F: 0.500 0.000 0.000


# 3
The following is a GGA-PBE calculation of an optimized crystal structure of Li2InBi2, from Alexandria.

M_tot in μB per cell: 0.000
Symmetry: I4/mmm
E_form in meV per atom: -125

abc: 4.854 4.854 6.867
angles: 69.30 69.30 90.00
Element x y z (fractional)
Li: 0.750 0.250 0.500
Li: 0.250 0.750 0.500
Bi: 0.377 0.377 0.245
Bi: 0.623 0.623 0.755
In: 0.000 0.000 0.000


Question: What is the M_tot in the third record?
Answer: 0.000 μB per cell